Record 1
Material: Si2TeAs
Method: DFT, PBEsol
State: relaxed

Values from the calculation:
The uncorrected formation energy comes out at 0.42 eV per atom. Its mass density is 5.54 g/cm3. The energy above the lowest structure with this stoichiometry comes out at 0.000 eV per atom. The space group is Imm2 (44). The magnetic moment comes out at 0.000 μB/atom.

a = 3.3587 Å, b = 4.6694 Å, c = 5.7202 Å
α = 114.09°, β = 107.07°, γ = 90.00°
Last column: nearest neighbours and their distance in Å.
Fractional coordinates of all 4 atoms:
As (0.2961, 0.7961, 0.5921)  2 Si 2.59
Te (0.5087, 0.5087, 0.0174)  6 Si 2.88-3.00, 2 As 3.14
Si (0.9960, 0.9960, 0.9919)  2 As 2.59, 2 Si 2.62, 4 Te 2.88
Si (0.6992, 0.1992, 0.3985)  2 Si 2.62



Record 2
Material: Si2TeAs
Method: DFT, PBEsol
State: relaxed

Values from the calculation:
The uncorrected formation energy comes out at 0.54 eV per atom. Its mass density is 5.43 g/cm3. The energy above the lowest structure with this stoichiometry comes out at 0.117 eV per atom. The space group is I-4m2 (119). The magnetic moment comes out at 0.000 μB/atom.

a = 3.8972 Å, b = 3.8972 Å, c = 5.8934 Å
α = 109.31°, β = 109.31°, γ = 90.00°
Last column: nearest neighbours and their distance in Å.
Fractional coordinates of all 4 atoms:
As (0.2500, 0.7500, 0.5000)  4 Si 2.76
Te (0.5000, 0.5000, 0.0000)  4 Si 2.76
Si (0.0000, 0.0000, 0.0000)  4 Te 2.76
Si (0.7500, 0.2500, 0.5000)  4 As 2.76



Record 3
Material: TiSiTe2As
Method: DFT, PBEsol
State: relaxed

Values from the calculation:
The uncorrected formation energy comes out at 0.78 eV per atom. Its mass density is 4.89 g/cm3. The space group is P4/mmm (123). The magnetic moment comes out at 0.299 μB/atom.

a = 4.6998 Å, b = 5.4145 Å, c = 5.4145 Å
α = 90.00°, β = 90.00°, γ = 90.00°
Last column: nearest neighbours and their distance in Å.
Fractional coordinates of all 5 atoms:
As (0.0000, 0.0000, 0.0000)  2 Ti 2.35
Te (0.0000, 0.0000, 0.5000)  2 As 2.71
Te (0.0000, 0.5000, 0.0000)  2 As 2.71
Si (0.5000, 0.5000, 0.5000)  8 Te 3.58, 4 Ti 3.83
Ti (0.5000, 0.0000, 0.0000)  2 As 2.35



Record 4
Material: Zr2SiTe2As
Method: DFT, PBEsol
State: relaxed

Values from the calculation:
The uncorrected formation energy comes out at -0.90 eV per atom. Its mass density is 6.76 g/cm3. The space group is P-4m2 (115). The magnetic moment comes out at 0.000 μB/atom.

a = 3.7129 Å, b = 3.7129 Å, c = 9.6399 Å
α = 90.00°, β = 90.00°, γ = 90.00°
Last column: nearest neighbours and their distance in Å.
Fractional coordinates of all 6 atoms:
As (0.0000, 0.0000, 0.0000)  4 Si 2.63, 4 Zr 2.78
Te (0.5000, 0.0000, 0.3536)  4 Zr 2.95
Te (0.0000, 0.5000, 0.6464)  4 Zr 2.95
Si (0.5000, 0.5000, 0.0000)  4 As 2.63, 4 Zr 2.78
Zr (0.5000, 0.0000, 0.7853)  2 Si 2.78, 2 As 2.78, 4 Te 2.95
Zr (0.0000, 0.5000, 0.2147)  2 Si 2.78, 2 As 2.78, 4 Te 2.95



Record 5
Material: TlSiAs2
Method: DFT, PBEsol
State: relaxed

Values from the calculation:
The uncorrected formation energy comes out at 0.14 eV per atom. Its mass density is 7.38 g/cm3. The energy above the lowest structure with this stoichiometry comes out at 0.000 eV per atom. The space group is P2/m (10). The magnetic moment comes out at 0.000 μB/atom.

a = 3.5728 Å, b = 4.8691 Å, c = 5.4277 Å
α = 114.30°, β = 90.00°, γ = 90.00°
Last column: nearest neighbours and their distance in Å.
Fractional coordinates of all 4 atoms:
As (0.0000, 0.2417, 0.3250)  1 As 2.45, 2 Si 2.53
As (0.0000, 0.7583, 0.6750)  1 As 2.45, 2 Si 2.53
Si (0.5000, 0.0000, 0.5000)  4 As 2.53, 2 Tl 2.80
Tl (0.5000, 0.5000, 0.0000)  2 Si 2.80, 4 As 3.12



Record 6
Material: TlSiAs2
Method: DFT, PBEsol
State: relaxed

Values from the calculation:
The uncorrected formation energy comes out at 0.26 eV per atom. Its mass density is 7.74 g/cm3. The energy above the lowest structure with this stoichiometry comes out at 0.121 eV per atom. The space group is P4/mmm (123). The magnetic moment comes out at 0.000 μB/atom.

a = 3.3219 Å, b = 3.3219 Å, c = 7.4304 Å
α = 90.00°, β = 90.00°, γ = 90.00°
Last column: nearest neighbours and their distance in Å.
Fractional coordinates of all 4 atoms:
As (0.0000, 0.0000, 0.8187)  1 As 2.69, 4 Si 2.71
As (0.0000, 0.0000, 0.1813)  1 As 2.69, 4 Si 2.71
Si (0.5000, 0.5000, 0.0000)  8 As 2.71
Tl (0.5000, 0.5000, 0.5000)  4 Tl 3.32, 8 As 3.34, 2 Si 3.72



Record 7
Material: Tl2SiAs
Method: DFT, PBEsol
State: relaxed

Values from the calculation:
The uncorrected formation energy comes out at 0.15 eV per atom. Its mass density is 9.11 g/cm3. The energy above the lowest structure with this stoichiometry comes out at 0.000 eV per atom. The space group is P4mm (99). The magnetic moment comes out at 0.000 μB/atom.

a = 3.4508 Å, b = 3.4508 Å, c = 7.8362 Å
α = 90.00°, β = 90.00°, γ = 90.00°
Last column: nearest neighbours and their distance in Å.
Fractional coordinates of all 4 atoms:
As (0.0000, 0.0000, 0.5694)  4 Si 2.61
Si (0.5000, 0.5000, 0.6859)  4 As 2.61
Tl (0.0000, 0.0000, 0.9603)  1 As 3.06, 4 Si 3.25
Tl (0.5000, 0.5000, 0.2843)  1 Si 3.15, 4 As 3.31, 8 Tl 3.45-3.52



Record 8
Material: TlSiAs2
Method: DFT, PBEsol
State: relaxed

Values from the calculation:
The uncorrected formation energy comes out at 0.40 eV per atom. Its mass density is 7.73 g/cm3. The energy above the lowest structure with this stoichiometry comes out at 0.263 eV per atom. The space group is Imm2 (44). The magnetic moment comes out at 0.000 μB/atom.

a = 3.4238 Å, b = 5.1858 Å, c = 5.5725 Å
α = 117.73°, β = 107.89°, γ = 90.00°
Last column: nearest neighbours and their distance in Å.
Fractional coordinates of all 4 atoms:
As (0.0345, 0.0345, 0.0690)  2 As 2.66
As (0.7546, 0.2546, 0.5091)  2 Si 2.60, 2 As 2.66
Si (0.4659, 0.4659, 0.9317)  2 As 2.60
Tl (0.2451, 0.7451, 0.4901)  4 Si 3.10-3.30, 8 As 3.11-3.24, 2 Tl 3.42



Record 9
Material: TlSiAs2
Method: DFT, PBEsol
State: relaxed

Values from the calculation:
The uncorrected formation energy comes out at 0.28 eV per atom. Its mass density is 7.36 g/cm3. The energy above the lowest structure with this stoichiometry comes out at 0.140 eV per atom. The space group is P4mm (99). The magnetic moment comes out at 0.000 μB/atom.

a = 3.5628 Å, b = 3.5628 Å, c = 6.7980 Å
α = 90.00°, β = 90.00°, γ = 90.00°
Last column: nearest neighbours and their distance in Å.
Fractional coordinates of all 4 atoms:
As (0.0000, 0.0000, 0.0558)  1 Si 2.42
As (0.5000, 0.5000, 0.2732)  4 Si 2.69, 4 As 2.92
Si (0.0000, 0.0000, 0.4124)  5 As 2.42-2.69
Tl (0.5000, 0.5000, 0.7586)  6 As 3.23-3.50, 4 Si 3.45, 4 Tl 3.56



Record 10
Material: Tl2SiAs
Method: DFT, PBEsol
State: relaxed

Values from the calculation:
The uncorrected formation energy comes out at 0.46 eV per atom. Its mass density is 9.40 g/cm3. The energy above the lowest structure with this stoichiometry comes out at 0.311 eV per atom. The space group is Fm-3m (225). The magnetic moment comes out at 0.000 μB/atom.

a = 5.0386 Å, b = 5.0386 Å, c = 5.0386 Å
α = 60.00°, β = 60.00°, γ = 60.00°
Last column: nearest neighbours and their distance in Å.
Fractional coordinates of all 4 atoms:
As (0.0000, 0.0000, 0.0000)  8 Tl 3.09
Si (0.5000, 0.5000, 0.5000)  8 Tl 3.09
Tl (0.2500, 0.2500, 0.2500)  4 As 3.09, 4 Si 3.09
Tl (0.7500, 0.7500, 0.7500)  4 As 3.09, 4 Si 3.09



Record 11
Material: TlSi2As2
Method: DFT, PBEsol
State: relaxed

Values from the calculation:
The uncorrected formation energy comes out at 0.12 eV per atom. Its mass density is 6.94 g/cm3. The space group is I4/mmm (139). The magnetic moment comes out at 0.000 μB/atom.

a = 4.7937 Å, b = 5.4533 Å, c = 4.7937 Å
α = 63.93°, β = 90.00°, γ = 116.07°
Last column: nearest neighbours and their distance in Å.
Fractional coordinates of all 5 atoms:
Tl (0.0000, 0.0000, 0.0000)  2 Si 3.05, 8 As 3.21
Si (0.6427, 0.2854, 0.3573)  1 Si 2.44, 4 As 2.57
Si (0.3573, 0.7146, 0.6427)  1 Si 2.44, 4 As 2.57
As (0.7500, 0.5000, 0.7500)  4 Si 2.57
As (0.2500, 0.5000, 0.2500)  4 Si 2.57



Record 12
Material: SiAsW2
Method: DFT, PBEsol
State: relaxed

Values from the calculation:
The uncorrected formation energy comes out at -0.14 eV per atom. Its mass density is 13.40 g/cm3. The energy above the lowest structure with this stoichiometry comes out at 0.000 eV per atom. The space group is P4mm (99). The magnetic moment comes out at 0.000 μB/atom.

a = 3.1987 Å, b = 3.1987 Å, c = 5.6995 Å
α = 90.00°, β = 90.00°, γ = 90.00°
Last column: nearest neighbours and their distance in Å.
Fractional coordinates of all 4 atoms:
As (0.0000, 0.0000, 0.4933)  5 W 2.57-2.67, 4 Si 2.74
Si (0.5000, 0.5000, 0.7652)  5 W 2.53-2.77, 4 As 2.74
W (0.0000, 0.0000, 0.9626)  4 Si 2.53, 1 As 2.67
W (0.5000, 0.5000, 0.2789)  4 As 2.57, 1 Si 2.77



Record 13
Material: Si2AsW
Method: DFT, PBEsol
State: relaxed

Values from the calculation:
The uncorrected formation energy comes out at 0.47 eV per atom. Its mass density is 8.92 g/cm3. The space group is Pmmm (47). The magnetic moment comes out at 0.000 μB/atom.

a = 3.1715 Å, b = 4.3153 Å, c = 4.2854 Å
α = 90.00°, β = 90.00°, γ = 90.00°
Last column: nearest neighbours and their distance in Å.
Fractional coordinates of all 4 atoms:
As (0.0000, 0.5000, 0.5000)  4 W 2.67, 4 Si 2.68
Si (0.0000, 0.0000, 0.0000)  4 Si 2.67, 4 W 2.68
Si (0.5000, 0.0000, 0.5000)  4 Si 2.67, 4 As 2.68
W (0.5000, 0.5000, 0.0000)  4 As 2.67, 4 Si 2.68



Record 14
Material: Si2AsW
Method: DFT, PBEsol
State: relaxed

Values from the calculation:
The uncorrected formation energy comes out at 0.19 eV per atom. Its mass density is 8.86 g/cm3. The space group is Cm (8). The magnetic moment comes out at 0.000 μB/atom.

a = 3.0669 Å, b = 4.4221 Å, c = 4.6252 Å
α = 93.94°, β = 109.36°, γ = 90.00°
Last column: nearest neighbours and their distance in Å.
Fractional coordinates of all 4 atoms:
As (0.2323, 0.7372, 0.4647)  3 Si 2.45-2.63, 3 W 2.67-2.68
Si (0.9969, 0.0062, 0.9937)  1 Si 2.37, 1 As 2.45, 2 W 2.64
Si (0.7674, 0.2639, 0.5349)  1 Si 2.37, 1 W 2.58, 2 As 2.63
W (0.5034, 0.4927, 0.0067)  7 Si 2.58-2.74, 3 As 2.67-2.68



Record 15
Material: SiAs2W
Method: DFT, PBEsol
State: relaxed

Values from the calculation:
The uncorrected formation energy comes out at 0.57 eV per atom. Its mass density is 9.69 g/cm3. The space group is P4/mmm (123). The magnetic moment comes out at 0.000 μB/atom.

a = 3.1218 Å, b = 4.4567 Å, c = 4.4567 Å
α = 90.00°, β = 90.00°, γ = 90.00°
Last column: nearest neighbours and their distance in Å.
Fractional coordinates of all 4 atoms:
As (0.0000, 0.0000, 0.5000)  4 Si 2.72, 4 W 2.72
As (0.0000, 0.5000, 0.0000)  4 W 2.72, 4 Si 2.72
Si (0.5000, 0.5000, 0.5000)  8 As 2.72
W (0.5000, 0.0000, 0.0000)  8 As 2.72